4
Lattice="4.0212 0.0000 0.0000 0.0000 4.0212 0.0000 0.0000 0.0000 7.4430" Properties=species:S:1:pos:R:3 comment="SmEr2Bi, optimized geometry, DFT PBE" volume_a3_per_cell=120 delta_e_f_ev_per_atom=-0.326 energy_ev_per_atom=-4.757 de_polymorph_ev_per_fu=0.493 pbc="T T T"
Er 0.0000 0.0000 5.4073
Bi 2.0106 2.0106 3.7215
Er 0.0000 0.0000 2.0357
Sm 2.0106 2.0106 0.0000

---

13
Lattice="-2.2618 3.6073 1.6982 -3.3087 -0.6263 3.1100 4.1749 1.6887 8.1598" Properties=species:S:1:pos:R:3 comment="Zn2Cu3Ni8, optimized geometry, DFT PBE" volume_a3_per_cell=163 delta_e_f_ev_per_atom=0.179 energy_ev_per_atom=-4.520 pbc="T T T"
Ni 0.2498 3.7772 7.7826
Ni -0.2748 1.6556 8.4901
Ni -2.7789 2.7002 6.0364
Ni 1.3833 1.9695 6.9316
Ni -0.6544 3.5475 10.1525
Cu 0.0000 0.0000 0.0000
Ni -1.1208 3.0141 4.4779
Cu -2.2787 3.3603 8.3867
Ni -1.6454 0.8925 5.1854
Zn 1.8414 2.6274 9.2444
Ni -0.7412 1.1222 2.8156
Cu 0.8832 1.3094 4.5814
Zn -3.2370 2.0423 3.7236

---

6
Lattice="3.2242 0.0000 -0.0146 0.0000 4.1062 0.0000 -1.2445 0.0000 11.6617" Properties=species:S:1:pos:R:3 comment="LaTlRe, optimized geometry, DFT PBE" volume_a3_per_cell=154 delta_e_f_ev_per_atom=0.091 energy_ev_per_atom=-6.489 de_polymorph_ev_per_fu=0.429 pbc="T T T"
Tl 1.8096 3.0797 6.8407
Re 0.5250 1.0266 0.4008
Re 1.4546 3.0797 11.2464
La 0.1769 1.0266 9.2602
Tl 0.1701 1.0266 4.8064
La 1.8028 3.0797 2.3870

---

3
Lattice="3.4968 0.0000 0.0000 0.0000 3.4968 0.0000 -1.7484 -1.7484 5.9423" Properties=species:S:1:pos:R:3 comment="YPuIr, optimized geometry, DFT PBE" volume_a3_per_cell=73 delta_e_f_ev_per_atom=-0.363 energy_ev_per_atom=-10.248 de_polymorph_ev_per_fu=0.580 pbc="T T T"
Ir 1.7484 1.7484 1.9528
Pu 0.0000 0.0000 0.3745
Y 0.0000 0.0000 3.6150

---

5
Lattice="5.6136 0.0000 0.0000 0.0000 5.6136 0.0000 0.0000 0.0000 5.6136" Properties=species:S:1:pos:R:3 comment="Na3CdSn, optimized geometry, DFT PBE" volume_a3_per_cell=177 delta_e_f_ev_per_atom=0.265 energy_ev_per_atom=-1.510 de_polymorph_ev_per_fu=1.946 pbc="T T T"
Na 2.8068 0.0000 0.0000
Cd 0.0000 0.0000 0.0000
Na 0.0000 0.0000 2.8068
Na 0.0000 2.8068 0.0000
Sn 2.8068 2.8068 2.8068

---

4
Lattice="0.0000 2.6472 2.6472 2.6472 0.0000 2.6472 2.6472 2.6472 0.0000" Properties=species:S:1:pos:R:3 comment="LiCr2H, optimized geometry, DFT PBE" volume_a3_per_cell=37 energy_ev_per_atom=-5.045 de_polymorph_ev_per_fu=1.547 pbc="T T T"
Cr 1.3236 1.3236 1.3236
H 0.0000 0.0000 0.0000
Li 2.6472 2.6472 2.6472
Cr 3.9708 3.9708 3.9708